DFT (PBE) results for a geometry-optimized TlAsClF6 structure.

Unit cell a=7.4337 b=6.2600 c=4.8485 alpha=87.58 beta=89.43 gamma=46.19
Fractional coordinates of all 9 atoms:
F: 0.3766 0.0028 0.7075
F: 0.5876 0.0525 0.3480
F: 0.2463 0.7775 0.2764
F: 0.7147 0.2974 0.7710
F: 0.1399 0.3761 0.2473
F: 0.9647 0.5444 0.7043
Tl: 0.6948 0.5781 0.3641
Cl: 0.9840 0.0365 0.0203
As: 0.2912 0.3347 0.5610

Calculated values
Uncorrected energy ... -33.9 eV per cell
Density ... 4.38 g cm⁻³

---

DFT (PBE) results for a geometry-optimized SrSmIn structure.

Unit cell a=5.3923 b=5.3923 c=8.7080 alpha=90.00 beta=90.01 gamma=60.00
Fractional coordinates of all 6 atoms:
In: 0.0000 0.4999 0.8226
In: 0.0000 0.5001 0.1774
Sm: 0.6667 0.1666 0.9065
Sm: 0.3333 0.8334 0.0935
Sr: 0.3333 0.8333 0.6432
Sr: 0.6667 0.1667 0.3568

Calculated values
Uncorrected energy ... -19.7 eV per cell
Calculated formation energy ... -0.24 eV/atom
Excess energy over the best structure of this formula in the dataset ... 79.1 meV/atom
Density ... 5.34 g cm⁻³

---

DFT (PBE) results for a geometry-optimized MnZn structure.

Unit cell a=3.5770 b=3.5770 c=3.5770 alpha=60.00 beta=60.00 gamma=60.00
Fractional coordinates of all 2 atoms:
Mn: 0.0000 0.0000 0.0000
Zn: 0.5000 0.5000 0.5000

Calculated values
Uncorrected energy ... -9.3 eV per cell
Calculated formation energy ... 0.57 eV/atom
Density ... 6.18 g cm⁻³

---

DFT (PBE) results for a geometry-optimized Si2PbCl8 structure.

Unit cell a=8.8397 b=7.8080 c=7.8080 alpha=59.21 beta=76.01 gamma=76.01
Fractional coordinates of all 11 atoms:
Cl: 0.2295 0.3571 0.9306
Cl: 0.2295 0.9306 0.3571
Cl: 0.7705 0.0694 0.6429
Cl: 0.7751 0.6418 0.6418
Cl: 0.2249 0.3582 0.3582
Cl: 0.5509 0.1600 0.1600
Cl: 0.7705 0.6429 0.0694
Cl: 0.4491 0.8400 0.8400
Pb: 0.0000 0.0000 0.0000
Si: 0.6892 0.7968 0.7968
Si: 0.3108 0.2032 0.2032

Calculated values
Uncorrected energy ... -39.1 eV per cell
Density ... 2.04 g cm⁻³

---

- Which formula does entry 3 have?
  MnZn